NbVO2 | PBE+U | relaxed

The value obtained for the total energy is -100.72 eV/cell. As for the total magnetization: 0.735 μB per atom.

The structure belongs to space group R-3m (No. 166, hexagonal axes); the cell edges are 3.1991, 3.1991 and 18.3550 Å and the angles 90.00°, 90.00° and 120.00°. Symmetry generates all atoms from Nb at (0.0000, 0.0000, 0.0000), V at (0.0000, 0.0000, 0.5000) and O at (0.0000, 0.0000, 0.1066).